Mn3InRh | meta-GGA SCAN | single point on PBEsol structure

Results
* total DFT energy (no corrections): -24.054 eV/atom
* ΔE_f: 160 kJ/mol of formula units
* space group: Pm-3m, No. 221

Lattice parameters (Å, degrees): 4.709 4.709 4.709 90.00 90.00 90.00
Fractional positions:
In (0.500, 0.500, 0.500)
Mn (0.000, 0.000, 0.500)
Mn (0.000, 0.500, 0.000)
Mn (0.500, 0.000, 0.000)
Rh (0.000, 0.000, 0.000)

MnZnInRh2 | meta-GGA SCAN | single point on PBEsol structure

Results
* total DFT energy (no corrections): -25.503 eV/atom
* ΔE_f: 500 kJ/mol of formula units
* space group: P4/mmm, No. 123

Lattice parameters (Å, degrees): 4.627 4.798 4.798 90.00 90.00 90.00
Fractional positions:
In (0.000, 0.000, 0.000)
Rh (0.000, 0.000, 0.500)
Mn (0.500, 0.500, 0.500)
Zn (0.500, 0.000, 0.000)
Rh (0.000, 0.500, 0.000)

MnInRu2 | meta-GGA SCAN | single point on PBEsol structure

Results
* total DFT energy (no corrections): -30.417 eV/atom
* ΔE_f: -36 kJ/mol of formula units
* space group: P4/mmm, No. 123

Lattice parameters (Å, degrees): 3.017 3.017 6.326 90.00 90.00 90.00
Fractional positions:
Mn (0.500, 0.500, 0.500)
Ru (0.000, 0.000, 0.719)
In (0.500, 0.500, 0.000)
Ru (0.000, 0.000, 0.281)

MnInRu | meta-GGA SCAN | single point on PBEsol structure

Results
* total DFT energy (no corrections): -28.733 eV/atom
* ΔE_f: 26 kJ/mol of formula units
* space group: P-6m2, No. 187

Lattice parameters (Å, degrees): 2.915 4.248 4.248 120.00 90.00 90.00
Fractional positions:
In (0.000, 0.000, 0.000)
Mn (0.500, 0.667, 0.333)
Ru (0.500, 0.333, 0.667)

MnInRu2 | meta-GGA SCAN | single point on PBEsol structure

Results
* total DFT energy (no corrections): -30.272 eV/atom
* ΔE_f: 20 kJ/mol of formula units
* space group: I-4m2, No. 119

Lattice parameters (Å, degrees): 3.798 3.798 4.832 113.14 113.14 90.00
Fractional positions:
Ru (0.000, 0.000, 0.000)
In (0.500, 0.500, 0.000)
Mn (0.250, 0.750, 0.500)
Ru (0.750, 0.250, 0.500)

MnInRu2 | meta-GGA SCAN | single point on PBEsol structure

Results
* total DFT energy (no corrections): -30.352 eV/atom
* ΔE_f: -11 kJ/mol of formula units
* space group: P4/mmm, No. 123

Lattice parameters (Å, degrees): 3.137 4.307 4.307 90.00 90.00 90.00
Fractional positions:
Ru (0.000, 0.000, 0.500)
In (0.500, 0.500, 0.500)
Ru (0.000, 0.500, 0.000)
Mn (0.500, 0.000, 0.000)

Mn2InRu | meta-GGA SCAN | single point on PBEsol structure

Results
* total DFT energy (no corrections): -26.084 eV/atom
* ΔE_f: 37 kJ/mol of formula units
* space group: P4mm, No. 99

Lattice parameters (Å, degrees): 2.752 2.752 7.304 90.00 90.00 90.00
Fractional positions:
Mn (0.000, 0.000, 0.034)
Mn (0.500, 0.500, 0.254)
Ru (0.000, 0.000, 0.461)
In (0.500, 0.500, 0.751)

MnInS2 | meta-GGA SCAN | single point on PBEsol structure

Results
* formation energy from raw total energies: -0.664 eV per atom
* total DFT energy (no corrections): -18.388 eV/atom
* space group: R-3m, No. 166

Lattice parameters (Å, degrees): 3.252 3.252 8.471 78.93 78.93 60.00
Fractional positions:
S (0.886, 0.886, 0.342)
In (0.000, 0.000, 0.000)
S (0.114, 0.114, 0.658)
Mn (0.500, 0.500, 0.500)